{
  "formula": "Na3In2Te4",
  "functional": "GGA-PBE",
  "state": "relaxed",
  "lattice_angstrom": [[-2.397, -3.814, -2.096], [5.432, 2.648, -5.143], [1.524, -6.316, 9.750]],
  "species": ["Na", "Te", "Na", "Te", "Te", "In", "In", "Te", "Na"],
  "fractional_positions": [[0.355, 0.710, 0.200], [0.080, 0.160, 0.348], [0.000, 0.000, 0.000], [0.693, 0.386, 0.112], [0.307, 0.614, 0.888], [0.683, 0.366, 0.341], [0.317, 0.634, 0.659], [0.920, 0.840, 0.652], [0.645, 0.290, 0.800]],
  "space_group": "No. 12",
  "formation_energy_uncorrected_mev_per_atom": -580,
  "vol_a3_per_cell": 328.3,
  "e_tot_ev_per_atom": -3.025,
  "n_ef_per_ev_cell": 2.51,
  "polymorph_energy_ev_per_fu": 0.00
}

{
  "formula": "Na2ThInTe4",
  "functional": "GGA-PBE",
  "state": "relaxed",
  "lattice_angstrom": [[-3.667, 0.684, 2.516], [-4.484, 0.170, -6.582], [0.413, -7.421, 2.619]],
  "species": ["Th", "Te", "Te", "Te", "Na", "Te", "Na", "In"],
  "fractional_positions": [[0.500, 0.500, 0.000], [0.000, 0.743, 0.237], [0.000, 0.257, 0.763], [0.500, 0.248, 0.233], [0.500, 0.000, 0.500], [0.500, 0.752, 0.767], [0.000, 0.500, 0.500], [0.000, 0.000, 0.000]],
  "space_group": "No. 10",
  "formation_energy_uncorrected_mev_per_atom": -885,
  "vol_a3_per_cell": 267.2,
  "e_tot_ev_per_atom": -4.056,
  "n_ef_per_ev_cell": 2.18
}

{
  "formula": "NaTh2In3Te6",
  "functional": "GGA-PBE",
  "state": "relaxed",
  "lattice_angstrom": [[-2.688, 3.661, 0.030], [-3.292, -2.346, -8.768], [-4.764, -6.375, 7.179]],
  "species": ["Te", "In", "Te", "Th", "Na", "In", "Te", "In", "Te", "Te", "Te", "Th"],
  "fractional_positions": [[0.328, 0.898, 0.657], [0.500, 0.500, 0.000], [0.987, 0.749, 0.974], [0.163, 0.320, 0.325], [0.500, 0.000, 0.000], [0.844, 0.173, 0.688], [0.672, 0.102, 0.343], [0.156, 0.827, 0.312], [0.673, 0.560, 0.347], [0.013, 0.251, 0.026], [0.327, 0.440, 0.653], [0.837, 0.680, 0.675]],
  "space_group": "No. 12",
  "formation_energy_uncorrected_mev_per_atom": -774,
  "vol_a3_per_cell": 435.3,
  "e_tot_ev_per_atom": -4.376
}

{
  "formula": "Na3Th2InTe6",
  "functional": "GGA-PBE",
  "state": "relaxed",
  "lattice_angstrom": [[4.589, 0.000, 0.000], [0.000, 9.355, 0.605], [-2.295, -2.439, 9.589]],
  "species": ["Te", "Na", "In", "Te", "Th", "Na", "Te", "Te", "Te", "Na", "Te", "Th"],
  "fractional_positions": [[0.326, 0.889, 0.653], [0.844, 0.159, 0.687], [0.500, 0.000, 0.000], [0.992, 0.737, 0.983], [0.838, 0.666, 0.677], [0.156, 0.841, 0.313], [0.674, 0.111, 0.347], [0.328, 0.424, 0.657], [0.008, 0.263, 0.017], [0.500, 0.500, 0.000], [0.672, 0.576, 0.343], [0.162, 0.334, 0.323]],
  "space_group": "No. 12",
  "formation_energy_uncorrected_mev_per_atom": -999,
  "vol_a3_per_cell": 418.4,
  "e_tot_ev_per_atom": -4.364,
  "n_ef_per_ev_cell": 0.49
}